Entry from the Alexandria database: a relaxed structure of Ni2Rh (PBE).

```
3
Lattice="4.0812 0.0000 0.0000 -2.0406 3.5345 0.0000 0.0000 0.0000 2.5595" Properties=species:S:1:pos:R:3 pbc="T T T"
Ni 0.0000 2.3563 0.0000
Ni 2.0406 1.1781 0.0000
Rh 0.0000 0.0000 1.2798
```

## Properties
- DFT formation energy (eV per atom) = 0.0930

---

Entry from the Alexandria database: a relaxed structure of Ni2Rh (PBE).

```
6
Lattice="4.7318 -1.3202 0.0000 4.7318 1.3202 0.0000 -1.5543 0.0000 5.9082" Properties=species:S:1:pos:R:3 pbc="T T T"
Ni 0.0000 0.0000 0.0000
Ni -0.4200 0.0000 3.6128
Ni 2.1521 0.0000 3.9602
Ni 5.7894 0.0000 2.0279
Rh 3.2573 0.0000 1.6757
Rh 5.3452 0.0000 5.5417
```

## Properties
- DFT formation energy (eV per atom) = 0.0574

---

Entry from the Alexandria database: a relaxed structure of NiRh (PBE).

```
6
Lattice="1.3364 -2.2437 0.0000 1.3364 2.2437 0.0000 0.0000 0.0000 13.0524" Properties=species:S:1:pos:R:3 pbc="T T T"
Ni 0.0000 0.0000 0.0000
Ni 0.0000 0.0000 4.3543
Ni 1.3364 0.0000 6.3737
Rh 0.0000 0.0000 8.5494
Rh 1.3364 0.0000 2.1773
Rh 1.3364 0.0000 10.8884
```

## Properties
- DFT formation energy (eV per atom) = 0.2154

---

Entry from the Alexandria database: a relaxed structure of NiRh (PBE).

```
16
Lattice="9.1583 0.0000 0.0000 0.0000 4.2565 0.0000 0.0000 0.0000 5.2591" Properties=species:S:1:pos:R:3 pbc="T T T"
Ni 0.7892 1.0641 1.3080
Ni 1.5348 3.1923 2.5976
Ni 3.0443 1.0641 5.2271
Ni 3.7900 3.1923 3.9375
Ni 5.3683 1.0641 1.3216
Ni 6.1140 3.1923 0.0320
Ni 7.6235 1.0641 2.6615
Ni 8.3691 3.1923 3.9511
Rh 0.7208 1.0641 3.8854
Rh 1.5394 3.1923 5.2445
Rh 3.0397 1.0641 2.6149
Rh 3.8583 3.1923 1.2558
Rh 5.3000 1.0641 4.0033
Rh 6.1186 3.1923 2.6442
Rh 7.6189 1.0641 0.0146
Rh 8.4374 3.1923 1.3737
```

## Properties
- DFT formation energy (eV per atom) = 0.0529

---

Entry from the Alexandria database: a relaxed structure of Ni3Rh (PBE).

```
16
Lattice="4.4728 0.0000 0.0000 0.0000 8.3309 0.0000 0.0000 0.0000 5.1283" Properties=species:S:1:pos:R:3 pbc="T T T"
Ni 0.3722 2.0827 0.6536
Ni 1.0958 4.1839 4.4792
Ni 1.0958 8.3124 4.4792
Ni 1.1406 0.0185 1.9150
Ni 1.1406 4.1470 1.9150
Ni 1.8642 6.2482 3.2178
Ni 2.6085 2.0827 1.9105
Ni 3.3322 4.1839 3.2133
Ni 3.3322 8.3124 3.2133
Ni 3.3769 0.0185 0.6491
Ni 3.3769 4.1470 0.6491
Ni 4.1006 6.2482 4.4747
Rh 0.3482 2.0827 3.1789
Rh 1.8882 6.2482 0.6147
Rh 2.5846 2.0827 4.5137
Rh 4.1246 6.2482 1.9495
```

## Properties
- DFT formation energy (eV per atom) = 0.0376

---

Entry from the Alexandria database: a relaxed structure of NiRh (PBE).

```
12
Lattice="6.4933 0.0000 0.0000 0.0000 6.4933 0.0000 0.0000 0.0000 6.4933" Properties=species:S:1:pos:R:3 pbc="T T T"
Ni 0.0000 1.6233 3.2467
Ni 0.0000 4.8700 3.2467
Ni 1.6233 3.2467 0.0000
Ni 3.2467 0.0000 1.6233
Ni 3.2467 0.0000 4.8700
Ni 4.8700 3.2467 0.0000
Rh 0.0000 3.2467 1.6233
Rh 0.0000 3.2467 4.8700
Rh 1.6233 0.0000 3.2467
Rh 3.2467 1.6233 0.0000
Rh 3.2467 4.8700 0.0000
Rh 4.8700 0.0000 3.2467
```

## Properties
- DFT formation energy (eV per atom) = 1.2593

---

Entry from the Alexandria database: a relaxed structure of Ni2Rh (PBE).

```
6
Lattice="4.4314 0.0000 0.0000 0.0000 2.6269 0.0000 -0.0885 0.0000 6.3094" Properties=species:S:1:pos:R:3 pbc="T T T"
Ni 0.3513 0.6567 1.0578
Ni 1.0332 1.9701 3.1156
Ni 3.3097 0.6567 3.1939
Ni 3.9916 1.9701 5.2517
Rh 1.7537 0.6567 5.2098
Rh 2.5892 1.9701 1.0996
```

## Properties
- DFT formation energy (eV per atom) = 0.0443

---

Entry from the Alexandria database: a relaxed structure of NiRh (PBE).

```
4
Lattice="-1.8305 1.8305 3.7661 1.8305 -1.8305 3.7661 1.8305 1.8305 -3.7661" Properties=species:S:1:pos:R:3 pbc="T T T"
Ni 1.8305 0.9153 0.9415
Ni 0.0000 0.9153 2.8246
Rh 1.8305 -0.9153 2.8246
Rh 0.0000 2.7458 0.9415
```

## Properties
- DFT formation energy (eV per atom) = 0.0235

---

Entry from the Alexandria database: a relaxed structure of Ni2Rh3 (PBE).

```
10
Lattice="4.5326 0.0000 0.0000 -0.8192 4.5326 0.0000 -1.4710 -2.5480 6.3385" Properties=species:S:1:pos:R:3 pbc="T T T"
Ni -0.3797 -0.4507 2.2462
Ni -0.3945 0.3305 4.7367
Ni 2.6369 1.6541 1.6018
Ni 2.6221 2.4353 4.0922
Rh 0.3515 1.2284 0.3274
Rh 0.3327 2.0078 2.8654
Rh 1.1107 3.7067 0.9719
Rh 1.1317 -1.7221 5.3666
Rh 1.9097 -0.0232 3.4731
Rh 1.8909 0.7562 6.0110
```

## Properties
- excess energy over the best structure of this formula in the dataset (meV per atom) = 4.4
- DFT formation energy (eV per atom) = 0.0412

---

Entry from the Alexandria database: a relaxed structure of NiRh5 (PBE).

```
6
Lattice="5.0199 0.0000 0.0000 -2.5100 4.3474 0.0000 0.0000 0.0000 4.4199" Properties=species:S:1:pos:R:3 pbc="T T T"
Ni 0.0000 0.0000 0.0000
Rh -1.2550 2.1737 2.2099
Rh 0.0000 2.8983 0.0000
Rh 2.5100 0.0000 2.2099
Rh 1.2550 2.1737 2.2099
Rh 2.5100 1.4491 0.0000
```

## Properties
- DFT formation energy (eV per atom) = 0.6294

---

Entry from the Alexandria database: a relaxed structure of NiRh (PBE).

```
2
Lattice="0.0000 2.4411 2.4411 2.4411 0.0000 2.4411 2.4411 2.4411 0.0000" Properties=species:S:1:pos:R:3 pbc="T T T"
Ni 0.0000 0.0000 0.0000
Rh 2.4411 2.4411 2.4411
```

## Properties
- DFT formation energy (eV per atom) = 0.7034

---

Entry from the Alexandria database: a relaxed structure of NiRh (PBE).

```
4
Lattice="1.3321 -2.2478 0.0000 1.3321 2.2478 0.0000 0.0000 0.0000 8.7171" Properties=species:S:1:pos:R:3 pbc="T T T"
Ni 1.3321 1.1239 7.7053
Ni 1.3321 -1.1239 1.0118
Rh 1.3321 1.1239 3.1902
Rh 1.3321 -1.1239 5.5270
```

## Properties
- DFT formation energy (eV per atom) = 0.2203